# Dy2MoF11 (GGA+U, optimized geometry)
data_Dy2MoF11
_space_group_name_H-M_alt 'I b a m'
_space_group_IT_number 72
_space_group_name_Hall '-I 2 2c'
_cell_length_a 7.950
_cell_length_b 10.198
_cell_length_c 10.488
_cell_angle_alpha 90.00
_cell_angle_beta 90.00
_cell_angle_gamma 90.00
loop_
_atom_site_label
_atom_site_type_symbol
_atom_site_fract_x
_atom_site_fract_y
_atom_site_fract_z
Dy1 Dy 0.139 0.181 0.000
Mo1 Mo 0.000 0.500 0.250
F1 F 0.000 0.000 0.000
F2 F 0.088 0.343 0.151
F3 F 0.128 0.219 0.500
F4 F 0.201 0.436 0.354
# magnetization	3.74	Bohr magnetons per cell
# electronic total energy	-5.95	eV per atom